# 1
A plane-wave DFT calculation with PBE was carried out for NdSi2 after structural relaxation.

Structure (POSCAR):
```
NdSi2
1.0
0.0000 3.8651 3.8651
3.8651 0.0000 3.8651
3.8651 3.8651 0.0000
Nd Si
2 4
Cartesian
0.9663 0.9663 0.9663
6.7640 6.7640 6.7640
3.8651 1.9326 1.9326
1.9326 3.8651 1.9326
1.9326 1.9326 3.8651
3.8651 3.8651 3.8651
```

Calculated values
The calculation puts the uncorrected formation energy at -0.302 eV per atom. The calculated total energy comes out at -0.20237 hartree per atom. The density of states at the Fermi level comes out at 0.5550 states/eV per atom. As for the volume: 115.5 Å³/cell. For the size of the total moment, the calculation gives 0.0 μB/cell.



# 2
A plane-wave DFT calculation with PBE was carried out for TcSb2Pb after structural relaxation.

Structure (POSCAR):
```
TcSb2Pb
1.0
4.7426 0.0000 0.0000
0.0000 1.8296 5.9351
0.0000 -1.8296 5.9351
Tc Sb Pb
1 2 1
Cartesian
0.0000 0.0000 0.0000
0.0000 0.0000 3.9257
2.3713 0.0000 10.5043
2.3713 0.0000 7.2476
```

Calculated values
The calculation puts the uncorrected formation energy at 0.429 eV per atom. The calculated total energy comes out at -0.18929 hartree per atom. The density of states at the Fermi level comes out at 0.8744 states/eV per atom. As for the volume: 103.0 Å³/cell. For the size of the total moment, the calculation gives 0.0 μB/cell.



# 3
A plane-wave DFT calculation with PBE was carried out for K4Tb3CeSe8 after structural relaxation.

Structure (POSCAR):
```
K4Tb3CeSe8
1.0
4.2717 2.4663 7.6853
-4.2717 2.4663 7.6853
0.0000 -4.9326 7.6853
K Tb Ce Se
4 3 1 8
Cartesian
0.0000 0.0000 0.0000
-2.1359 -1.2331 7.6853
-2.1359 1.2331 15.3707
0.0000 2.4663 7.6853
-4.2717 0.0000 11.5280
-2.1359 1.2331 3.8427
2.1359 1.2331 3.8427
0.0000 0.0000 11.5280
-2.1782 -1.2576 13.1197
0.0000 0.0000 5.4189
0.0000 -2.5152 9.9363
-2.1782 1.2576 9.9363
2.1782 -1.2576 13.1197
0.0000 2.5152 13.1197
0.0000 0.0000 17.6371
2.1782 1.2576 9.9363
```

Calculated values
The calculation puts the uncorrected formation energy at -1.744 eV per atom. The calculated total energy comes out at -0.18373 hartree per atom. The density of states at the Fermi level comes out at 0.3255 states/eV per atom. As for the volume: 485.8 Å³/cell. For the size of the total moment, the calculation gives 1.0 μB/cell.



# 4
A plane-wave DFT calculation with PBE was carried out for LaMo3Pd after structural relaxation.

Structure (POSCAR):
```
LaMo3Pd
1.0
4.7226 0.0000 0.0000
0.0000 4.7226 0.0000
0.0000 0.0000 4.7226
La Mo Pd
1 3 1
Cartesian
0.0000 0.0000 0.0000
0.0000 0.0000 2.3613
0.0000 2.3613 0.0000
2.3613 0.0000 0.0000
2.3613 2.3613 2.3613
```

Calculated values
The calculated total energy comes out at -0.23470 hartree per atom. The density of states at the Fermi level comes out at 1.1433 states/eV per atom. As for the volume: 105.3 Å³/cell. The energy of formation from the pure elements is 2.136 eV/atom. For the size of the total moment, the calculation gives 0.0 μB/cell. Its energy relative to the lowest polymorph listed for this composition is 701.4 meV/atom.



# 5
A plane-wave DFT calculation with PBE was carried out for SrTlAu after structural relaxation.

Structure (POSCAR):
```
SrTlAu
1.0
4.9866 0.0000 0.0000
-2.4933 4.3185 0.0000
0.0000 0.0000 4.0152
Sr Tl Au
1 1 1
Cartesian
0.0000 0.0000 0.0000
0.0000 2.8790 2.0076
2.4933 1.4395 2.0076
```

Calculated values
The calculated total energy comes out at -0.10933 hartree per atom. The density of states at the Fermi level comes out at 0.4182 states/eV per atom. As for the volume: 86.5 Å³/cell. The energy of formation from the pure elements is -0.533 eV/atom. For the size of the total moment, the calculation gives 0.0 μB/cell.



# 6
A plane-wave DFT calculation with PBE was carried out for SbPdIN2 after structural relaxation.

Structure (POSCAR):
```
SbPdIN2
1.0
3.9674 0.0000 0.0000
0.0000 3.9674 0.0000
0.0000 0.0000 7.3374
Sb Pd I N
1 1 1 2
Cartesian
0.0000 0.0000 0.0000
1.9837 1.9837 3.6687
0.0000 0.0000 3.6687
0.0000 1.9837 0.0000
1.9837 0.0000 0.0000
```

Calculated values
The calculation puts the uncorrected formation energy at 1.241 eV per atom. The calculated total energy comes out at -0.15665 hartree per atom. The density of states at the Fermi level comes out at 0.7828 states/eV per atom. As for the volume: 115.5 Å³/cell. For the size of the total moment, the calculation gives 0.7 μB/cell. Its energy relative to the lowest polymorph listed for this composition is 0.0 meV/atom.



# 7
A plane-wave DFT calculation with PBE was carried out for MgSiBr2 after structural relaxation.

Structure (POSCAR):
```
MgSiBr2
1.0
1.7851 1.0306 14.2008
-1.7851 1.0306 14.2008
0.0000 -2.0612 14.2008
Mg Si Br
1 1 2
Cartesian
0.0000 0.0000 0.0000
0.0000 0.0000 21.3012
0.0000 0.0000 12.5828
0.0000 0.0000 30.0197
```

Calculated values
The calculation puts the uncorrected formation energy at -0.355 eV per atom. The calculated total energy comes out at -0.10825 hartree per atom. The density of states at the Fermi level comes out at 0.1670 states/eV per atom. As for the volume: 156.8 Å³/cell. For the size of the total moment, the calculation gives 0.2 μB/cell. Its energy relative to the lowest polymorph listed for this composition is 0.0 meV/atom.



# 8
A plane-wave DFT calculation with PBE was carried out for Sc12GaFe6 after structural relaxation.

Structure (POSCAR):
```
Sc12GaFe6
1.0
-4.4794 4.4794 4.4794
4.4794 -4.4794 4.4794
4.4794 4.4794 -4.4794
Sc Ga Fe
12 1 6
Cartesian
4.4794 -1.8627 2.7411
2.6167 1.7383 0.0000
6.3421 1.7383 0.0000
2.7411 4.4794 -1.8627
1.7383 0.0000 2.6167
0.0000 2.6167 1.7383
4.4794 1.8627 2.7411
2.7411 4.4794 1.8627
1.7383 0.0000 6.3421
-1.8627 2.7411 4.4794
1.8627 2.7411 4.4794
0.0000 6.3421 1.7383
0.0000 0.0000 0.0000
4.4794 0.0000 1.0608
4.4794 3.4186 0.0000
1.0608 4.4794 0.0000
3.4186 0.0000 4.4794
0.0000 1.0608 4.4794
0.0000 4.4794 3.4186
```

Calculated values
The calculated total energy comes out at -0.25635 hartree per atom. The density of states at the Fermi level comes out at 1.3316 states/eV per atom. As for the volume: 359.5 Å³/cell. The energy of formation from the pure elements is -0.145 eV/atom. For the size of the total moment, the calculation gives 4.8 μB/cell.



# 9
A plane-wave DFT calculation with PBE was carried out for NbCSe3 after structural relaxation.

Structure (POSCAR):
```
NbCSe3
1.0
4.3481 0.0000 0.0000
0.0000 4.3481 0.0000
0.0000 0.0000 4.3481
Nb C Se
1 1 3
Cartesian
0.0000 0.0000 0.0000
2.1740 2.1740 2.1740
0.0000 2.1740 2.1740
2.1740 0.0000 2.1740
2.1740 2.1740 0.0000
```

Calculated values
The calculation puts the uncorrected formation energy at 0.957 eV per atom. The calculated total energy comes out at -0.18345 hartree per atom. The density of states at the Fermi level comes out at 0.7665 states/eV per atom. As for the volume: 82.2 Å³/cell. For the size of the total moment, the calculation gives 0.0 μB/cell. Its energy relative to the lowest polymorph listed for this composition is 0.0 meV/atom.



# 10
A plane-wave DFT calculation with PBE was carried out for Ac2PrSc after structural relaxation.

Structure (POSCAR):
```
Ac2PrSc
1.0
3.9075 0.0000 0.0000
0.0000 3.9075 0.0000
0.0000 0.0000 9.7021
Ac Pr Sc
2 1 1
Cartesian
0.0000 0.0000 2.2355
0.0000 0.0000 7.4666
1.9538 1.9538 4.8510
1.9538 1.9538 0.0000
```

Calculated values
The calculated total energy comes out at -0.17506 hartree per atom. The density of states at the Fermi level comes out at 1.4266 states/eV per atom. As for the volume: 148.1 Å³/cell. The energy of formation from the pure elements is 0.068 eV/atom. For the size of the total moment, the calculation gives 0.0 μB/cell. Its energy relative to the lowest polymorph listed for this composition is 0.0 meV/atom.



# 11
A plane-wave DFT calculation with PBE was carried out for Fe3PdC after structural relaxation.

Structure (POSCAR):
```
Fe3PdC
1.0
3.7716 0.0000 0.0000
0.0000 3.7716 0.0000
0.0000 0.0000 3.7716
Fe Pd C
3 1 1
Cartesian
0.0000 0.0000 1.8858
0.0000 1.8858 0.0000
1.8858 0.0000 0.0000
1.8858 1.8858 1.8858
0.0000 0.0000 0.0000
```

Calculated values
The calculated total energy comes out at -0.28283 hartree per atom. The density of states at the Fermi level comes out at 1.1890 states/eV per atom. As for the volume: 53.7 Å³/cell. The energy of formation from the pure elements is 0.265 eV/atom. For the size of the total moment, the calculation gives 0.0 μB/cell. Its energy relative to the lowest polymorph listed for this composition is 0.0 meV/atom.



# 12
A plane-wave DFT calculation with PBE was carried out for TbY6Er2Tm3 after structural relaxation.

Structure (POSCAR):
```
TbY6Er2Tm3
1.0
3.0651 -5.3024 0.0000
3.0651 5.3024 0.0000
-2.0356 0.0000 11.5610
Tb Y Er Tm
1 6 2 3
Cartesian
0.0000 0.0000 0.0000
1.0261 1.7687 2.9025
0.0055 0.0000 8.6591
1.0261 -1.7687 2.9025
3.0686 1.7687 8.6585
4.0892 0.0000 2.9019
3.0686 -1.7687 8.6585
3.0651 1.7674 0.0000
3.0651 -1.7674 0.0000
2.0473 3.5336 5.7805
2.0473 0.0000 5.7805
2.0473 -3.5336 5.7805
```

Calculated values
The calculated total energy comes out at -0.20100 hartree per atom. The density of states at the Fermi level comes out at 1.4884 states/eV per atom. As for the volume: 375.8 Å³/cell. The energy of formation from the pure elements is 0.027 eV/atom. For the size of the total moment, the calculation gives 0.0 μB/cell.